[1]
# PBE ThGa6Pd4, relaxed
data_ThGa6Pd4
_space_group_name_H-M_alt 'P -6 m 2'
_space_group_IT_number 187
_space_group_name_Hall 'P -6 2'
_cell_length_a 7.3805
_cell_length_b 7.3805
_cell_length_c 4.0757
_cell_angle_alpha 90.00
_cell_angle_beta 90.00
_cell_angle_gamma 120.00
loop_
_atom_site_label
_atom_site_fract_x
_atom_site_fract_y
_atom_site_fract_z
Th1 0.0000 0.0000 0.0000
Ga1 0.0691 0.5346 0.0000
Ga2 0.3981 0.1991 0.5000
Pd1 0.2007 0.4014 0.5000
Pd2 0.6667 0.3333 0.0000
# DOS at the Fermi energy, states/eV/cell: 3.322
# V, Å³ per atom: 17.5
# Formation enthalpy at 0 K, meV/atom: -624

***

[2]
# PBE Th2GaPd8, relaxed
data_Th2GaPd8
_space_group_name_H-M_alt 'I m m m'
_space_group_IT_number 71
_space_group_name_Hall '-I 2 2'
_cell_length_a 4.806
_cell_length_b 6.007
_cell_length_c 14.124
_cell_angle_alpha 90.00
_cell_angle_beta 90.00
_cell_angle_gamma 90.00
loop_
_atom_site_label
_atom_site_fract_x
_atom_site_fract_y
_atom_site_fract_z
Th1 0.000 0.000 0.183
Ga1 0.000 0.000 0.500
Pd1 0.000 0.256 0.367
Pd2 0.000 0.261 0.000
Pd3 0.000 0.500 0.183
# DOS at the Fermi energy, states/eV/cell: 8.556
# V, Å³ per atom: 18.5
# Formation enthalpy at 0 K, meV/atom: -721

***

[3]
# PBE Th2TiGa4Pd3, relaxed
data_Th2TiGa4Pd3
_space_group_name_H-M_alt 'P -4 m 2'
_space_group_IT_number 115
_space_group_name_Hall 'P -4 -2'
_cell_length_a 4.206
_cell_length_b 4.206
_cell_length_c 11.101
_cell_angle_alpha 90.00
_cell_angle_beta 90.00
_cell_angle_gamma 90.00
loop_
_atom_site_label
_atom_site_fract_x
_atom_site_fract_y
_atom_site_fract_z
Th1 0.000 0.500 0.245
Ti1 0.000 0.000 0.500
Ga1 0.000 0.000 0.000
Ga2 0.000 0.500 0.642
Ga3 0.500 0.500 0.000
Pd1 0.000 0.500 0.867
Pd2 0.500 0.500 0.500
# DOS at the Fermi energy, states/eV/cell: 7.475
# V, Å³ per atom: 19.6
# Formation enthalpy at 0 K, meV/atom: -684

***

[4]
# PBE TmThGaPd, relaxed
data_TmThGaPd
_space_group_name_H-M_alt 'F -4 3 m'
_space_group_IT_number 216
_space_group_name_Hall 'F -4 2 3'
_cell_length_a 7.209
_cell_length_b 7.209
_cell_length_c 7.209
_cell_angle_alpha 90.00
_cell_angle_beta 90.00
_cell_angle_gamma 90.00
loop_
_atom_site_label
_atom_site_fract_x
_atom_site_fract_y
_atom_site_fract_z
Tm1 0.000 0.000 0.000
Th1 0.000 0.000 0.500
Ga1 0.250 0.250 0.750
Pd1 0.250 0.250 0.250
# DOS at the Fermi energy, states/eV/cell: 13.168
# V, Å³ per atom: 23.4
# Formation enthalpy at 0 K, meV/atom: -584

***

[5]
# PBE ThZn2GaPd2, relaxed
data_ThZn2GaPd2
_space_group_name_H-M_alt 'P 4/m m m'
_space_group_IT_number 123
_space_group_name_Hall '-P 4 2'
_cell_length_a 4.527
_cell_length_b 4.527
_cell_length_c 5.812
_cell_angle_alpha 90.00
_cell_angle_beta 90.00
_cell_angle_gamma 90.00
loop_
_atom_site_label
_atom_site_fract_x
_atom_site_fract_y
_atom_site_fract_z
Th1 0.000 0.000 0.000
Zn1 0.000 0.500 0.500
Ga1 0.000 0.000 0.500
Pd1 0.500 0.500 0.236
# DOS at the Fermi energy, states/eV/cell: 3.621
# V, Å³ per atom: 19.8
# Formation enthalpy at 0 K, meV/atom: -114

***

[6]
# PBE ThZnGaPd3, relaxed
data_ThZnGaPd3
_space_group_name_H-M_alt 'C m c m'
_space_group_IT_number 63
_space_group_name_Hall '-C 2c 2'
_cell_length_a 6.517
_cell_length_b 12.317
_cell_length_c 5.764
_cell_angle_alpha 90.00
_cell_angle_beta 90.00
_cell_angle_gamma 90.00
loop_
_atom_site_label
_atom_site_fract_x
_atom_site_fract_y
_atom_site_fract_z
Th1 0.000 0.198 0.250
Zn1 0.000 0.136 0.750
Ga1 0.000 0.444 0.250
Pd1 0.000 0.339 0.750
Pd2 0.209 0.000 0.000
# DOS at the Fermi energy, states/eV/cell: 13.145
# V, Å³ per atom: 19.3
# Formation enthalpy at 0 K, meV/atom: -531

***

[7]
# PBE ThZnGa2Pd5, relaxed
data_ThZnGa2Pd5
_space_group_name_H-M_alt 'P 4/m m m'
_space_group_IT_number 123
_space_group_name_Hall '-P 4 2'
_cell_length_a 4.175
_cell_length_b 4.175
_cell_length_c 9.434
_cell_angle_alpha 90.00
_cell_angle_beta 90.00
_cell_angle_gamma 90.00
loop_
_atom_site_label
_atom_site_fract_x
_atom_site_fract_y
_atom_site_fract_z
Th1 0.000 0.000 0.000
Zn1 0.000 0.000 0.500
Ga1 0.500 0.500 0.374
Pd1 0.000 0.500 0.225
Pd2 0.500 0.500 0.000
# DOS at the Fermi energy, states/eV/cell: 2.674
# V, Å³ per atom: 18.3
# Formation enthalpy at 0 K, meV/atom: -548

***

[8]
# PBE ThZnGa3Pd, relaxed
data_ThZnGa3Pd
_space_group_name_H-M_alt 'C m c m'
_space_group_IT_number 63
_space_group_name_Hall '-C 2c 2'
_cell_length_a 6.312
_cell_length_b 12.191
_cell_length_c 6.300
_cell_angle_alpha 90.00
_cell_angle_beta 90.00
_cell_angle_gamma 90.00
loop_
_atom_site_label
_atom_site_fract_x
_atom_site_fract_y
_atom_site_fract_z
Th1 0.000 0.200 0.250
Zn1 0.000 0.431 0.250
Ga1 0.000 0.354 0.750
Ga2 0.210 0.000 0.000
Pd1 0.000 0.146 0.750
# DOS at the Fermi energy, states/eV/cell: 13.179
# V, Å³ per atom: 20.2
# Formation enthalpy at 0 K, meV/atom: -210